# 1
KNa5Tl2Hg: relaxed, PBE.

Results
density of states at the Fermi level: 0.56 states/eV/atom
SG: Cmc2_1, No. 36
size of the total moment: 0.00 μB/cell
calculated volume: 33.48 A^3/atom
energy: -26.71 eV/cell

a b c (Å): 9.164 9.164 17.101
angles (deg): 90.00 90.00 155.19
Sites, in units of the cell vectors:
K: 0.120 0.880 0.500
K: 0.880 0.120 0.000
Na: 0.079 0.921 0.297
Na: 0.097 0.903 0.767
Na: 0.164 0.836 0.031
Na: 0.271 0.729 0.346
Na: 0.482 0.518 0.625
Na: 0.518 0.482 0.125
Na: 0.729 0.271 0.846
Na: 0.836 0.164 0.531
Na: 0.903 0.097 0.267
Na: 0.921 0.079 0.797
Tl: 0.307 0.693 0.697
Tl: 0.454 0.546 0.419
Tl: 0.546 0.454 0.919
Tl: 0.693 0.307 0.197
Hg: 0.325 0.675 0.153
Hg: 0.675 0.325 0.653


# 2
K4Na2TlHg2: relaxed, PBE.

Results
density of states at the Fermi level: 0.65 states/eV/atom
SG: P-1, No. 2
size of the total moment: 0.00 μB/cell
calculated volume: 43.82 A^3/atom
energy: -11.01 eV/cell

a b c (Å): 6.801 8.305 8.321
angles (deg): 118.51 95.89 101.32
Sites, in units of the cell vectors:
K: 0.065 0.269 0.045
K: 0.236 0.857 0.520
K: 0.764 0.143 0.480
K: 0.935 0.731 0.955
Na: 0.354 0.482 0.663
Na: 0.646 0.518 0.337
Tl: 0.500 0.000 0.000
Hg: 0.447 0.690 0.109
Hg: 0.553 0.310 0.891


# 3
K3Na2Tl2Hg4: relaxed, PBE.

Results
density of states at the Fermi level: 0.32 states/eV/atom
SG: P-3m1, No. 164
size of the total moment: 0.00 μB/cell
calculated volume: 33.98 A^3/atom
energy: -13.46 eV/cell

a b c (Å): 5.738 5.738 13.111
angles (deg): 90.00 90.00 120.00
Sites, in units of the cell vectors:
K: 0.000 0.000 0.000
K: 0.000 0.000 0.302
K: 0.000 0.000 0.698
Na: 0.333 0.667 0.134
Na: 0.667 0.333 0.866
Tl: 0.333 0.667 0.608
Tl: 0.667 0.333 0.392
Hg: 0.333 0.667 0.379
Hg: 0.333 0.667 0.863
Hg: 0.667 0.333 0.137
Hg: 0.667 0.333 0.621


# 4
K2Na2TlHg: relaxed, PBE.

Results
density of states at the Fermi level: 0.64 states/eV/atom
SG: Ibam, No. 72
size of the total moment: 0.00 μB/cell
calculated volume: 41.51 A^3/atom
energy: -15.87 eV/cell

a b c (Å): 9.881 9.881 9.881
angles (deg): 134.51 67.83 132.57
Sites, in units of the cell vectors:
K: 0.154 0.249 0.404
K: 0.346 0.749 0.095
K: 0.654 0.251 0.905
K: 0.846 0.751 0.596
Na: 0.099 0.757 0.856
Na: 0.401 0.257 0.657
Na: 0.599 0.743 0.343
Na: 0.901 0.243 0.144
Tl: 0.250 0.750 0.500
Tl: 0.750 0.250 0.500
Hg: 0.250 0.250 0.000
Hg: 0.750 0.750 0.000


# 5
K2Na6ZnHg: relaxed, PBE.

Results
density of states at the Fermi level: 0.50 states/eV/atom
SG: Fm-3m, No. 225
size of the total moment: 0.00 μB/cell
calculated volume: 41.77 A^3/atom
energy: -11.53 eV/cell

a b c (Å): 8.390 8.390 8.390
angles (deg): 60.00 60.00 60.00
Sites, in units of the cell vectors:
K: 0.250 0.250 0.250
K: 0.750 0.750 0.750
Na: 0.247 0.247 0.753
Na: 0.247 0.753 0.247
Na: 0.247 0.753 0.753
Na: 0.753 0.247 0.247
Na: 0.753 0.247 0.753
Na: 0.753 0.753 0.247
Zn: 0.000 0.000 0.000
Hg: 0.500 0.500 0.500


# 6
KNbHg3: relaxed, PBE.

Results
offset from the most stable computed form: 0 meV/atom
density of states at the Fermi level: 0.70 states/eV/atom
SG: Pm-3m, No. 221
size of the total moment: 2.61 μB/cell
calculated volume: 34.57 A^3/atom

a b c (Å): 5.570 5.570 5.570
angles (deg): 90.00 90.00 90.00
Sites, in units of the cell vectors:
K: 0.000 0.000 0.000
Nb: 0.500 0.500 0.500
Hg: 0.000 0.500 0.500
Hg: 0.500 0.000 0.500
Hg: 0.500 0.500 0.000


# 7
KNbHg: relaxed, PBE.

Results
offset from the most stable computed form: 568 meV/atom
density of states at the Fermi level: 0.70 states/eV/atom
SG: P-6m2, No. 187
size of the total moment: 0.00 μB/cell
calculated volume: 31.77 A^3/atom

a b c (Å): 5.288 5.288 7.872
angles (deg): 90.00 90.00 120.00
Sites, in units of the cell vectors:
K: 0.000 0.000 0.000
K: 0.000 0.000 0.500
Nb: 0.333 0.667 0.145
Nb: 0.333 0.667 0.855
Hg: 0.667 0.333 0.195
Hg: 0.667 0.333 0.805


# 8
KNbHg: relaxed, PBE.

Results
offset from the most stable computed form: 212 meV/atom
density of states at the Fermi level: 0.99 states/eV/atom
SG: P1, No. 1
size of the total moment: 0.00 μB/cell
calculated volume: 28.90 A^3/atom

a b c (Å): 3.254 6.394 9.117
angles (deg): 71.44 89.97 75.43
Sites, in units of the cell vectors:
K: 0.000 0.000 0.000
K: 0.313 0.382 0.255
Nb: 0.272 0.462 0.640
Nb: 0.616 0.765 0.476
Hg: 0.710 0.583 0.875
Hg: 0.965 0.075 0.599


# 9
KNbHg: relaxed, PBE.

Results
offset from the most stable computed form: 870 meV/atom
density of states at the Fermi level: 1.05 states/eV/atom
SG: P-6m2, No. 187
size of the total moment: 1.43 μB/cell
calculated volume: 35.24 A^3/atom

a b c (Å): 4.650 4.650 5.646
angles (deg): 90.00 90.00 120.00
Sites, in units of the cell vectors:
K: 0.000 0.000 0.000
Nb: 0.667 0.333 0.500
Hg: 0.333 0.667 0.500


# 10
KNbHg: relaxed, PBE.

Results
offset from the most stable computed form: 131 meV/atom
density of states at the Fermi level: 0.56 states/eV/atom
SG: P-1, No. 2
size of the total moment: 0.00 μB/cell
calculated volume: 33.34 A^3/atom

a b c (Å): 3.664 4.387 12.637
angles (deg): 80.05 89.20 90.00
Sites, in units of the cell vectors:
K: 0.228 0.330 0.342
K: 0.772 0.670 0.658
Nb: 0.254 0.539 0.923
Nb: 0.746 0.461 0.077
Hg: 0.244 0.941 0.118
Hg: 0.756 0.059 0.882


# 11
KNbHg: relaxed, PBE.

Results
offset from the most stable computed form: 820 meV/atom
density of states at the Fermi level: 0.41 states/eV/atom
SG: P6_3/mmc, No. 194
size of the total moment: 0.00 μB/cell
calculated volume: 24.13 A^3/atom

a b c (Å): 5.257 5.257 6.049
angles (deg): 90.00 90.00 120.00
Sites, in units of the cell vectors:
K: 0.000 0.000 0.000
K: 0.000 0.000 0.500
Nb: 0.333 0.667 0.250
Nb: 0.667 0.333 0.750
Hg: 0.333 0.667 0.750
Hg: 0.667 0.333 0.250


# 12
KNbHg: relaxed, PBE.

Results
offset from the most stable computed form: 283 meV/atom
density of states at the Fermi level: 0.91 states/eV/atom
SG: Imma, No. 74
size of the total moment: 0.00 μB/cell
calculated volume: 26.58 A^3/atom

a b c (Å): 6.195 6.195 6.195
angles (deg): 131.45 108.98 90.73
Sites, in units of the cell vectors:
K: 0.386 0.136 0.250
K: 0.614 0.864 0.750
Nb: 0.000 0.000 0.500
Nb: 0.000 0.500 0.000
Hg: 0.000 0.500 0.500
Hg: 0.500 0.500 0.000